(1)
Material: KSc2W
Method: DFT, GGA-PBE
State: optimized geometry

Results
The value obtained for the density of states at the Fermi level is 3.75 states/eV/f.u. As for the energy relative to the lowest polymorph listed for this composition: 303 meV per atom. The calculation puts the formation energy at 0.72 eV per atom. The calculation puts the calculated density at 4.5 g/cm3. As for the total magnetization: 0.0 Bohr magnetons per cell.

abc: 9.9388 2.9700 7.8730
angles: 90.00 91.97 90.00
Closest atoms and distances in Å follow each position.
Space group Cm (No. 8)
Inequivalent atoms, fractional coordinates:
K1 0.0000 0.0000 0.0000  2 K 2.97
Sc1 0.2401 0.0000 0.6331  2 W 2.77, 3 Sc 2.97-3.00
Sc2 0.4931 0.0000 0.4354  3 W 2.78-2.84, 3 Sc 2.97-3.00
W1 0.2590 0.5000 0.3379  5 Sc 2.77-2.84, 2 W 2.97


(2)
Material: KSc2W
Method: DFT, GGA-PBE
State: optimized geometry

Results
The value obtained for the density of states at the Fermi level is 7.91 states/eV/f.u. As for the energy relative to the lowest polymorph listed for this composition: 177 meV per atom. The calculation puts the formation energy at 0.60 eV per atom. The calculation puts the calculated density at 4.8 g/cm3. As for the total magnetization: 0.0 Bohr magnetons per cell.

abc: 3.3372 3.3372 33.3270
angles: 90.00 90.00 120.00
Closest atoms and distances in Å follow each position.
Space group R-3m (No. 166, hexagonal axes)
Inequivalent atoms, fractional coordinates:
K1 0.0000 0.0000 0.0000  6 K 3.34
Sc1 0.0000 0.0000 0.2269  3 W 2.78
W1 0.0000 0.0000 0.5000  6 Sc 2.78


(3)
Material: KSc2W
Method: DFT, GGA-PBE
State: optimized geometry

Results
The value obtained for the density of states at the Fermi level is 3.90 states/eV/f.u. As for the energy relative to the lowest polymorph listed for this composition: 325 meV per atom. The calculation puts the formation energy at 0.74 eV per atom. The calculation puts the calculated density at 4.1 g/cm3. As for the total magnetization: 0.0 Bohr magnetons per cell.

abc: 3.0092 4.8766 17.1448
angles: 90.00 90.00 90.00
Closest atoms and distances in Å follow each position.
Space group Imm2 (No. 44)
Inequivalent atoms, fractional coordinates:
K1 0.0000 0.0000 0.0000  2 K 3.01
Sc1 0.0000 0.0000 0.6777  2 W 2.72, 2 Sc 3.01
Sc2 0.0000 0.5000 0.7952  4 W 2.88, 4 Sc 3.01-3.16
W1 0.0000 0.5000 0.3099  6 Sc 2.72-2.88, 2 W 3.01


(4)
Material: KSc2W
Method: DFT, GGA-PBE
State: optimized geometry

Results
The value obtained for the density of states at the Fermi level is 4.80 states/eV/f.u. As for the energy relative to the lowest polymorph listed for this composition: 837 meV per atom. The calculation puts the formation energy at 1.25 eV per atom. The calculation puts the calculated density at 5.5 g/cm3. As for the total magnetization: 0.9 Bohr magnetons per cell.

abc: 3.0044 5.3436 5.9159
angles: 90.00 90.00 90.00
Closest atoms and distances in Å follow each position.
Space group Pmmm (No. 47)
Inequivalent atoms, fractional coordinates:
K1 0.0000 0.0000 0.0000  2 K 3.00, 4 Sc 3.07, 4 W 3.32
Sc1 0.0000 0.5000 0.5000  6 Sc 3.00-3.32, 4 W 3.07
Sc2 0.5000 0.5000 0.0000  6 Sc 3.00-3.32, 4 K 3.07
W1 0.5000 0.0000 0.5000  2 W 3.00, 4 Sc 3.07, 4 K 3.32


(5)
Material: KScW4
Method: DFT, GGA-PBE
State: optimized geometry

Results
The value obtained for the density of states at the Fermi level is 10.26 states/eV/f.u. The calculation puts the formation energy at 0.95 eV per atom. The calculation puts the calculated density at 11.5 g/cm3. As for the total magnetization: 0.0 Bohr magnetons per cell.

abc: 7.8014 7.8014 7.8014
angles: 90.00 90.00 90.00
Closest atoms and distances in Å follow each position.
Space group F-43m (No. 216)
Inequivalent atoms, fractional coordinates:
K1 0.0000 0.0000 0.0000  12 W 3.23, 4 Sc 3.38
Sc1 0.2500 0.2500 0.7500  12 W 3.24, 4 K 3.38
W1 0.1258 0.1258 0.3742  6 W 2.74-2.78


(6)
Material: KSc2W
Method: DFT, GGA-PBE
State: optimized geometry

Results
The value obtained for the density of states at the Fermi level is 6.59 states/eV/f.u. As for the energy relative to the lowest polymorph listed for this composition: 0 meV per atom. The calculation puts the formation energy at 0.42 eV per atom. The calculation puts the calculated density at 4.6 g/cm3. As for the total magnetization: 0.0 Bohr magnetons per cell.

abc: 3.3090 3.3271 10.2230
angles: 90.00 90.00 90.00
Closest atoms and distances in Å follow each position.
Space group Pmmm (No. 47)
Inequivalent atoms, fractional coordinates:
K1 0.0000 0.0000 0.0000  4 K 3.31-3.33
Sc1 0.5000 0.5000 0.3411  4 W 2.85
W1 0.0000 0.0000 0.5000  8 Sc 2.85


(7)
Material: KSc2W
Method: DFT, GGA-PBE
State: optimized geometry

Results
The value obtained for the density of states at the Fermi level is 5.32 states/eV/f.u. As for the energy relative to the lowest polymorph listed for this composition: 598 meV per atom. The calculation puts the formation energy at 1.02 eV per atom. The calculation puts the calculated density at 5.7 g/cm3. As for the total magnetization: 0.0 Bohr magnetons per cell.

abc: 6.8882 8.6514 3.0449
angles: 90.00 90.00 90.00
Closest atoms and distances in Å follow each position.
Space group Cmmm (No. 65)
Inequivalent atoms, fractional coordinates:
K1 0.0000 0.0000 0.0000  2 K 3.04, 8 Sc 3.16
Sc1 0.2500 0.2500 0.5000  2 Sc 3.04, 4 W 3.16, 4 K 3.16
W1 0.0000 0.5000 0.0000  2 W 3.04, 8 Sc 3.16


(8)
Material: KSc2W
Method: DFT, GGA-PBE
State: optimized geometry

Results
The value obtained for the density of states at the Fermi level is 4.39 states/eV/f.u. As for the energy relative to the lowest polymorph listed for this composition: 767 meV per atom. The calculation puts the formation energy at 1.19 eV per atom. The calculation puts the calculated density at 5.6 g/cm3. As for the total magnetization: 0.0 Bohr magnetons per cell.

abc: 4.4349 4.4349 9.4418
angles: 90.00 90.00 90.00
Closest atoms and distances in Å follow each position.
Space group I-4m2 (No. 119)
Inequivalent atoms, fractional coordinates:
K1 0.0000 0.0000 0.0000  8 Sc 3.14-3.24, 4 W 3.24
Sc1 0.0000 0.0000 0.5000  4 K 3.14, 4 W 3.24, 4 Sc 3.24
Sc2 0.0000 0.5000 0.7500  4 W 3.14, 4 K 3.24, 4 Sc 3.24
W1 0.0000 0.5000 0.2500  8 Sc 3.14-3.24, 4 K 3.24


- Look up the calculated density of the sixth one.
  4.6 g/cm3